# 1
Entry from Alexandria: a relaxed H2Se crystal (GGA-PBE).

The size of the total moment comes out at 0.0 μB/f.u. The calculation puts the total energy at -2.617 eV/atom.

It has space group Fm-3m (No. 225), with a = 4.8782 Å, b = 4.8782 Å, c = 4.8782 Å, α = 90.00°, β = 90.00° and γ = 90.00°. The asymmetric unit holds H at (0.2500, 0.2500, 0.2500) and Se at (0.0000, 0.0000, 0.0000).

=====

# 2
Entry from Alexandria: a relaxed Y2PuAl2Ru5 crystal (GGA-PBE).

The size of the total moment comes out at 2.9 μB/f.u. The value obtained for the formation energy is -4.12 eV per formula unit. The calculation puts the total energy at -8.525 eV/atom.

It has space group P4/mbm (No. 127), with a = 10.1861 Å, b = 10.1861 Å, c = 3.3750 Å, α = 90.00°, β = 90.00° and γ = 90.00°. The asymmetric unit holds Y at (0.1706, 0.3294, 0.0000), Pu at (0.0000, 0.0000, 0.0000), Al at (0.1261, 0.6261, 0.0000), Ru at (0.0000, 0.5000, 0.5000) and Ru at (0.0675, 0.7989, 0.5000).

=====

# 3
Entry from Alexandria: a relaxed CaCr2PdN crystal (GGA-PBE).

For the uncorrected formation energy, the calculation gives -0.74 eV/f.u. The size of the total moment comes out at 0.2 μB/f.u. The calculation puts the total energy at -7.101 eV/atom.

It has space group P4/mmm (No. 123), with a = 3.8262 Å, b = 3.8262 Å, c = 4.8245 Å, α = 90.00°, β = 90.00° and γ = 90.00°. The asymmetric unit holds Ca at (0.0000, 0.0000, 0.0000), Cr at (0.0000, 0.5000, 0.5000), Pd at (0.5000, 0.5000, 0.0000) and N at (0.0000, 0.0000, 0.5000).

=====

# 4
Entry from Alexandria: a relaxed RbAlPd3 crystal (GGA-PBE).

The size of the total moment comes out at 0.0 μB/f.u. The value obtained for the formation energy is -0.16 eV per formula unit. The calculation puts the total energy at -4.089 eV/atom.

It has space group Pm-3m (No. 221), with a = 4.8153 Å, b = 4.8153 Å, c = 4.8153 Å, α = 90.00°, β = 90.00° and γ = 90.00°. The asymmetric unit holds Rb at (0.0000, 0.0000, 0.0000), Al at (0.5000, 0.5000, 0.5000) and Pd at (0.0000, 0.5000, 0.5000).

=====

# 5
Entry from Alexandria: a relaxed PrAl2Re2C crystal (GGA-PBE).

The size of the total moment comes out at 0.0 μB/f.u. The value obtained for the formation energy is -1.62 eV per formula unit. The calculation puts the total energy at -8.000 eV/atom.

It has space group P4/mmm (No. 123), with a = 4.1901 Å, b = 4.1901 Å, c = 5.7194 Å, α = 90.00°, β = 90.00° and γ = 90.00°. The asymmetric unit holds Pr at (0.0000, 0.0000, 0.0000), Al at (0.5000, 0.5000, 0.2279), Re at (0.0000, 0.5000, 0.5000) and C at (0.0000, 0.0000, 0.5000).

=====

# 6
Entry from Alexandria: a relaxed Ag2TeRu crystal (GGA-PBE).

For the uncorrected formation energy, the calculation gives 2.22 eV/f.u. The size of the total moment comes out at 2.1 μB/f.u. The calculation puts the total energy at -3.975 eV/atom.

It has space group Cmmm (No. 65), with a = 4.1843 Å, b = 4.1979 Å, c = 9.3260 Å, α = 90.00°, β = 90.00° and γ = 90.00°. The asymmetric unit holds Ag at (0.0000, 0.0000, 0.2103), Te at (0.0000, 0.5000, 0.5000) and Ru at (0.0000, 0.5000, 0.0000).

=====

# 7
Entry from Alexandria: a relaxed Tb2TcCl crystal (GGA-PBE).

For the uncorrected formation energy, the calculation gives -2.84 eV/f.u. The size of the total moment comes out at 0.0 μB/f.u. The calculation puts the total energy at -6.078 eV/atom.

It has space group P4/mmm (No. 123), with a = 3.4178 Å, b = 3.4178 Å, c = 7.8301 Å, α = 90.00°, β = 90.00° and γ = 90.00°. The asymmetric unit holds Tb at (0.0000, 0.0000, 0.2117), Tc at (0.5000, 0.5000, 0.0000) and Cl at (0.5000, 0.5000, 0.5000).

=====

# 8
Entry from Alexandria: a relaxed TbSbS2 crystal (GGA-PBE).

For the uncorrected formation energy, the calculation gives -1.64 eV/f.u. The size of the total moment comes out at 0.0 μB/f.u. The calculation puts the total energy at -4.661 eV/atom.

It has space group R-3m (No. 166, hexagonal axes), with a = 3.9569 Å, b = 3.9569 Å, c = 25.3082 Å, α = 90.00°, β = 90.00° and γ = 120.00°. The asymmetric unit holds Tb at (0.0000, 0.0000, 0.0000), Sb at (0.0000, 0.0000, 0.5000) and S at (0.0000, 0.0000, 0.1065).

=====

# 9
Entry from Alexandria: a relaxed RbAg3As crystal (GGA-PBE).

The size of the total moment comes out at 0.0 μB/f.u. The value obtained for the formation energy is 7.36 eV per formula unit. The calculation puts the total energy at -1.361 eV/atom.

It has space group Pm-3m (No. 221), with a = 5.5730 Å, b = 5.5730 Å, c = 5.5730 Å, α = 90.00°, β = 90.00° and γ = 90.00°. The asymmetric unit holds Rb at (0.0000, 0.0000, 0.0000), Ag at (0.0000, 0.0000, 0.5000) and As at (0.5000, 0.5000, 0.5000).

=====

# 10
Entry from Alexandria: a relaxed Pr2ScAl12Ni3 crystal (GGA-PBE).

The size of the total moment comes out at 0.0 μB/f.u. The value obtained for the formation energy is -0.21 eV per formula unit. The calculation puts the total energy at -4.353 eV/atom.

It has space group R-3m (No. 166, hexagonal axes), with a = 8.4460 Å, b = 8.4460 Å, c = 18.3848 Å, α = 90.00°, β = 90.00° and γ = 120.00°. The asymmetric unit holds Pr at (0.0000, 0.0000, 0.0814), Sc at (0.0000, 0.0000, 0.5000), Al at (0.0787, 0.5393, 0.3118), Al at (0.0808, 0.5404, 0.8787) and Ni at (0.0000, 0.5000, 0.0000).

=====

# 11
Entry from Alexandria: a relaxed Pr3SmRu8 crystal (GGA-PBE).

The size of the total moment comes out at 0.0 μB/f.u. The value obtained for the formation energy is -1.46 eV per formula unit. The calculation puts the total energy at -7.894 eV/atom.

It has space group R3m (No. 160, hexagonal axes), with a = 5.4299 Å, b = 5.4299 Å, c = 26.7328 Å, α = 90.00°, β = 90.00° and γ = 120.00°. The asymmetric unit holds Pr at (0.0000, 0.0000, 0.0000), Pr at (0.0000, 0.0000, 0.1249), Pr at (0.0000, 0.0000, 0.4999), Sm at (0.0000, 0.0000, 0.6246), Ru at (0.0000, 0.0000, 0.3065), Ru at (0.0000, 0.0000, 0.8068), Ru at (0.0080, 0.5040, 0.0608) and Ru at (0.0107, 0.5054, 0.5622).

=====

# 12
Entry from Alexandria: a relaxed CaCd5 crystal (GGA-PBE).

The size of the total moment comes out at 0.0 μB/f.u. The value obtained for the formation energy is -1.02 eV per formula unit. The calculation puts the total energy at -1.266 eV/atom.

It has space group Cmmm (No. 65), with a = 4.5521 Å, b = 13.3309 Å, c = 4.7857 Å, α = 90.00°, β = 90.00° and γ = 90.00°. The asymmetric unit holds Ca at (0.0000, 0.0000, 0.0000), Cd at (0.0000, 0.1673, 0.5000), Cd at (0.0000, 0.3248, 0.0000) and Cd at (0.0000, 0.5000, 0.5000).